Material: Ac12H5Os3
Method: DFT, GGA-PBE
State: optimized geometry

Output
**Total energy**: -5.10 eV/atom
**DOS at the Fermi energy**: 0.652 states/eV/atom
**V**: 2288.9 Å³/cell

The structure in CIF format:
```
data_Ac12H5Os3
_cell_length_a 14.3796
_cell_length_b 14.3796
_cell_length_c 14.3796
_cell_angle_alpha 109.47
_cell_angle_beta 109.47
_cell_angle_gamma 109.47
_space_group_name_H-M_alt 'P 1'
_space_group_IT_number 1
loop_
_space_group_symop_operation_xyz
'x,y,z'
loop_
_atom_site_label
_atom_site_type_symbol
_atom_site_fract_x
_atom_site_fract_y
_atom_site_fract_z
_atom_site_occupancy
H1 H 0.1250 0.3750 0.2500 1
H2 H 0.0000 0.5000 0.0000 1
H3 H 0.0000 0.0000 0.0000 1
H4 H 0.3750 0.2500 0.1250 1
H5 H 0.5000 0.0000 0.5000 1
H6 H 0.5000 0.5000 0.0000 1
H7 H 0.1250 0.7500 0.3750 1
H8 H 0.7500 0.1250 0.8750 1
H9 H 0.7500 0.6250 0.3750 1
H10 H 0.3750 0.1250 0.7500 1
H11 H 0.6250 0.8750 0.2500 1
H12 H 0.5000 0.5000 0.5000 1
H13 H 0.5000 0.0000 0.0000 1
H14 H 0.0000 0.0000 0.5000 1
H15 H 0.2500 0.3750 0.6250 1
H16 H 0.2500 0.8750 0.1250 1
H17 H 0.0000 0.5000 0.5000 1
H18 H 0.8750 0.2500 0.6250 1
H19 H 0.6250 0.7500 0.8750 1
H20 H 0.8750 0.6250 0.7500 1
Ac1 Ac 0.7200 0.1246 0.0336 1
Ac2 Ac 0.3136 0.5336 0.4090 1
Ac3 Ac 0.9664 0.3754 0.2800 1
Ac4 Ac 0.5336 0.2200 0.1246 1
Ac5 Ac 0.5954 0.7200 0.6864 1
Ac6 Ac 0.9664 0.5910 0.1864 1
Ac7 Ac 0.3136 0.7800 0.4046 1
Ac8 Ac 0.0910 0.9046 0.1246 1
Ac9 Ac 0.5910 0.9664 0.6864 1
Ac10 Ac 0.7200 0.5954 0.1864 1
Ac11 Ac 0.7800 0.4664 0.3754 1
Ac12 Ac 0.8136 0.9090 0.0336 1
Ac13 Ac 0.1246 0.7200 0.5336 1
Ac14 Ac 0.3754 0.4090 0.0954 1
Ac15 Ac 0.0954 0.9090 0.3754 1
Ac16 Ac 0.4046 0.1246 0.5910 1
Ac17 Ac 0.0954 0.1864 0.2200 1
Ac18 Ac 0.4664 0.6864 0.0910 1
Ac19 Ac 0.8136 0.9046 0.2800 1
Ac20 Ac 0.1246 0.4046 0.0910 1
Ac21 Ac 0.3754 0.9664 0.7800 1
Ac22 Ac 0.5910 0.6246 0.4046 1
Ac23 Ac 0.9090 0.8136 0.5336 1
Ac24 Ac 0.7800 0.3136 0.9046 1
Ac25 Ac 0.4090 0.3754 0.5954 1
Ac26 Ac 0.0910 0.1864 0.4664 1
Ac27 Ac 0.2200 0.6864 0.0954 1
Ac28 Ac 0.1864 0.0954 0.7200 1
Ac29 Ac 0.6246 0.0336 0.2200 1
Ac30 Ac 0.8754 0.5954 0.9090 1
Ac31 Ac 0.5336 0.3136 0.9090 1
Ac32 Ac 0.5954 0.8754 0.4090 1
Ac33 Ac 0.9046 0.8136 0.7800 1
Ac34 Ac 0.9046 0.0910 0.6246 1
Ac35 Ac 0.8754 0.2800 0.4664 1
Ac36 Ac 0.1864 0.0910 0.9664 1
Ac37 Ac 0.6246 0.5910 0.9046 1
Ac38 Ac 0.4090 0.0336 0.3136 1
Ac39 Ac 0.2800 0.4046 0.8136 1
Ac40 Ac 0.2200 0.5336 0.6246 1
Ac41 Ac 0.9090 0.0954 0.8754 1
Ac42 Ac 0.6864 0.2200 0.5954 1
Ac43 Ac 0.4664 0.7800 0.8754 1
Ac44 Ac 0.0336 0.4090 0.8136 1
Ac45 Ac 0.4046 0.2800 0.3136 1
Ac46 Ac 0.0336 0.6246 0.7200 1
Ac47 Ac 0.6864 0.4664 0.5910 1
Ac48 Ac 0.2800 0.8754 0.9664 1
Os1 Os 0.7500 0.3750 0.1250 1
Os2 Os 0.8750 0.7500 0.1250 1
Os3 Os 0.3750 0.7500 0.6250 1
Os4 Os 0.2500 0.1250 0.3750 1
Os5 Os 0.8750 0.1250 0.2500 1
Os6 Os 0.3750 0.6250 0.2500 1
Os7 Os 0.6250 0.3750 0.7500 1
Os8 Os 0.1250 0.8750 0.7500 1
Os9 Os 0.7500 0.8750 0.6250 1
Os10 Os 0.6250 0.2500 0.3750 1
Os11 Os 0.1250 0.2500 0.8750 1
Os12 Os 0.2500 0.6250 0.8750 1
```